[1]
Computed, not measured: SmThGe4 after structural relaxation at the PBE level of DFT.

Properties
**E_form**: -0.314 eV/atom
**Magnetic moment**: 0.00 μB per cell
**DFT total energy**: -5.415 eV/atom

```
SmThGe4
1.0
0.000 4.022 4.022
4.022 0.000 4.022
4.022 4.022 0.000
Sm Th Ge
1 1 4
Direct
0.000 0.000 0.000 Sm
0.750 0.750 0.750 Th
0.374 0.374 0.374 Ge
0.374 0.374 0.878 Ge
0.374 0.878 0.374 Ge
0.878 0.374 0.374 Ge
```

[2]
Computed, not measured: Sm2Th2Ge3 after structural relaxation at the PBE level of DFT.

Properties
**E_form**: -0.523 eV/atom
**Magnetic moment**: 0.00 μB per cell
**DFT total energy**: -5.970 eV/atom

```
Sm2Th2Ge3
1.0
6.662 -2.107 0.000
6.662 2.107 0.000
-3.409 0.000 6.676
Sm Th Ge
2 2 3
Direct
0.165 0.165 0.270 Sm
0.835 0.835 0.730 Sm
0.112 0.112 0.767 Th
0.888 0.888 0.233 Th
0.413 0.413 0.544 Ge
0.500 0.500 0.000 Ge
0.587 0.587 0.456 Ge
```

[3]
Computed, not measured: SmThGe2 after structural relaxation at the PBE level of DFT.

Properties
**E_form**: -0.784 eV/atom
**Magnetic moment**: 0.00 μB per cell
**DFT total energy**: -6.128 eV/atom

```
SmThGe2
1.0
4.155 0.000 0.000
0.000 5.964 0.000
0.000 0.000 8.102
Sm Th Ge
2 2 4
Direct
0.000 0.124 0.000 Sm
0.000 0.876 0.500 Sm
0.500 0.374 0.363 Th
0.500 0.626 0.863 Th
0.000 0.396 0.640 Ge
0.000 0.604 0.140 Ge
0.500 0.108 0.723 Ge
0.500 0.892 0.223 Ge
```

[4]
Computed, not measured: SmTh4Ge5 after structural relaxation at the PBE level of DFT.

Properties
**E_form**: -0.761 eV/atom
**Magnetic moment**: 0.00 μB per cell
**DFT total energy**: -6.510 eV/atom

```
SmTh4Ge5
1.0
-2.141 3.035 10.737
2.141 -3.035 10.737
2.141 3.035 -10.737
Sm Th Ge
1 4 5
Direct
0.000 0.000 0.000 Sm
0.199 0.199 0.000 Th
0.401 0.401 0.000 Th
0.599 0.599 0.000 Th
0.801 0.801 0.000 Th
0.099 0.599 0.500 Ge
0.300 0.800 0.500 Ge
0.500 0.000 0.500 Ge
0.700 0.200 0.500 Ge
0.901 0.401 0.500 Ge
```

[5]
Computed, not measured: SmTiGe after structural relaxation at the PBE level of DFT.

Properties
**E_form**: -0.642 eV/atom
**Magnetic moment**: 3.47 μB per cell
**DFT total energy**: -6.386 eV/atom

```
SmTiGe
1.0
-2.052 2.052 7.891
2.052 -2.052 7.891
2.052 2.052 -7.891
Sm Ti Ge
2 2 2
Direct
0.174 0.174 0.000 Sm
0.826 0.826 0.000 Sm
0.000 0.500 0.500 Ti
0.500 0.000 0.500 Ti
0.381 0.381 0.000 Ge
0.619 0.619 0.000 Ge
```

[6]
Computed, not measured: Sm2TiGe2 after structural relaxation at the PBE level of DFT.

Properties
**E_form**: 0.556 eV/atom
**Magnetic moment**: 0.01 μB per cell
**DFT total energy**: -4.757 eV/atom

```
Sm2TiGe2
1.0
2.994 0.000 0.000
0.000 2.994 0.000
0.000 0.000 14.405
Sm Ti Ge
2 1 2
Direct
0.000 0.000 0.119 Sm
0.000 0.000 0.881 Sm
0.000 0.000 0.500 Ti
0.000 0.000 0.321 Ge
0.000 0.000 0.679 Ge
```

[7]
Computed, not measured: SmTiGe after structural relaxation at the PBE level of DFT.

Properties
**E_form**: -0.023 eV/atom
**Magnetic moment**: 0.00 μB per cell
**DFT total energy**: -5.767 eV/atom

```
SmTiGe
1.0
14.537 0.000 0.000
0.000 1.615 2.787
0.000 -1.615 2.787
Sm Ti Ge
2 2 2
Direct
0.176 0.000 0.000 Sm
0.824 0.000 0.000 Sm
0.360 0.336 0.336 Ti
0.640 0.336 0.336 Ti
0.000 0.334 0.334 Ge
0.500 0.002 0.002 Ge
```

[8]
Computed, not measured: SmTiGe2 after structural relaxation at the PBE level of DFT.

Properties
**E_form**: -0.595 eV/atom
**Magnetic moment**: 0.00 μB per cell
**DFT total energy**: -6.057 eV/atom

```
SmTiGe2
1.0
2.120 1.224 5.481
-2.120 1.224 5.481
0.000 -2.448 5.481
Sm Ti Ge
1 1 2
Direct
0.000 0.000 0.000 Sm
0.500 0.500 0.500 Ti
0.230 0.230 0.230 Ge
0.770 0.770 0.770 Ge
```

[9]
Computed, not measured: SmTiGe after structural relaxation at the PBE level of DFT.

Properties
**E_form**: -0.653 eV/atom
**Magnetic moment**: 1.75 μB per cell
**DFT total energy**: -6.397 eV/atom

```
SmTiGe
1.0
4.103 0.000 0.000
0.000 4.103 0.000
0.000 0.000 7.868
Sm Ti Ge
2 2 2
Direct
0.250 0.250 0.155 Sm
0.750 0.750 0.845 Sm
0.250 0.750 0.500 Ti
0.750 0.250 0.500 Ti
0.250 0.250 0.732 Ge
0.750 0.750 0.268 Ge
```

[10]
Computed, not measured: Sm6Tl2Ge after structural relaxation at the PBE level of DFT.

Properties
**E_form**: -0.382 eV/atom
**Magnetic moment**: 3.94 μB per cell
**DFT total energy**: -4.567 eV/atom

```
Sm6Tl2Ge
1.0
8.595 0.000 0.000
-4.297 7.443 0.000
0.000 0.000 4.228
Sm Tl Ge
6 2 1
Direct
0.000 0.254 0.000 Sm
0.000 0.604 0.500 Sm
0.254 0.000 0.000 Sm
0.396 0.396 0.500 Sm
0.604 0.000 0.500 Sm
0.746 0.746 0.000 Sm
0.333 0.667 0.000 Tl
0.667 0.333 0.000 Tl
0.000 0.000 0.500 Ge
```

[11]
Computed, not measured: Sm5TlGe2 after structural relaxation at the PBE level of DFT.

Properties
**E_form**: -0.367 eV/atom
**Magnetic moment**: 0.00 μB per cell
**DFT total energy**: -4.767 eV/atom

```
Sm5TlGe2
1.0
0.000 4.857 4.865
4.510 0.000 4.865
4.510 4.857 0.000
Sm Tl Ge
5 1 2
Direct
0.000 0.000 0.000 Sm
0.000 0.000 0.500 Sm
0.000 0.500 0.000 Sm
0.500 0.000 0.500 Sm
0.500 0.500 0.000 Sm
0.500 0.500 0.500 Tl
0.000 0.500 0.500 Ge
0.500 0.000 0.000 Ge
```

[12]
Computed, not measured: Sm7Tl2Ge2 after structural relaxation at the PBE level of DFT.

Properties
**E_form**: -0.302 eV/atom
**Magnetic moment**: 0.00 μB per cell
**DFT total energy**: -4.575 eV/atom

```
Sm7Tl2Ge2
1.0
4.197 -5.591 0.000
4.197 5.591 0.000
0.000 0.000 7.322
Sm Tl Ge
7 2 2
Direct
0.000 0.000 0.000 Sm
0.000 0.500 0.270 Sm
0.000 0.500 0.730 Sm
0.500 0.000 0.270 Sm
0.500 0.000 0.730 Sm
0.500 0.500 0.249 Sm
0.500 0.500 0.751 Sm
0.177 0.177 0.500 Tl
0.823 0.823 0.500 Tl
0.279 0.721 0.000 Ge
0.721 0.279 0.000 Ge
```